1.
The following is a DFT calculation (PBE-GGA) of an optimized crystal structure of CsGaO2.

Calculated values
Total DFT energy (no corrections), eV per cell: -41.5
Formation energy (no corrections), eV per atom: -1.742

a b c (Å): 7.9228 6.4843 6.4843
angles (deg): 60.83 112.30 67.70
With the nearest neighbours (Å) after each atom.
Positions (direct):
Ga1 0.2500 0.7476 0.2476  4 O 1.89
Ga2 0.7500 0.2524 0.7524  4 O 1.89
O1 0.4744 0.4629 0.7076  2 Ga 1.89
O2 0.5256 0.5371 0.2924  2 Ga 1.89
O3 0.0256 0.2076 0.9629  2 Ga 1.89
O4 0.9744 0.7924 0.0371  2 Ga 1.89
Cs1 0.7500 0.9173 0.4173  4 O 3.02-3.21
Cs2 0.2500 0.0827 0.5827  4 O 3.02-3.21

***

2.
The following is a DFT calculation (PBE-GGA) of an optimized crystal structure of CsGaO2.

Calculated values
Total DFT energy (no corrections), eV per cell: -41.5
Formation energy (no corrections), eV per atom: -1.737

a b c (Å): 6.7593 6.5919 6.5919
angles (deg): 72.27 116.11 63.89
With the nearest neighbours (Å) after each atom.
Positions (direct):
Cs1 0.7500 0.4025 0.9025  4 O 3.07-3.21
Cs2 0.2500 0.5975 0.0975  4 O 3.07-3.21
O1 0.1257 0.6110 0.5624  2 Ga 1.88-1.91
O2 0.3743 0.0624 0.1110  2 Ga 1.88-1.91
O3 0.8743 0.3890 0.4376  2 Ga 1.88-1.91
O4 0.6257 0.9376 0.8890  2 Ga 1.88-1.91
Ga1 0.7500 0.7604 0.2604  4 O 1.88-1.91
Ga2 0.2500 0.2396 0.7396  4 O 1.88-1.91

***

3.
The following is a DFT calculation (PBE-GGA) of an optimized crystal structure of CsGaO2.

Calculated values
Total DFT energy (no corrections), eV per cell: -18.9
Formation energy (no corrections), eV per atom: -1.288

a b c (Å): 3.2722 3.2722 6.9369
angles (deg): 90.00 90.00 120.00
With the nearest neighbours (Å) after each atom.
Positions (direct):
O1 0.6667 0.3333 0.1488  3 Ga 2.18
O2 0.3333 0.6667 0.8621  3 Ga 2.09
Ga1 0.0000 0.0000 0.9908  6 O 2.09-2.18
Cs1 0.3333 0.6667 0.4533  4 O 2.83-2.84

***

4.
The following is a DFT calculation (PBE-GGA) of an optimized crystal structure of CsGaO3.

Calculated values
Total DFT energy (no corrections), eV per cell: -15.9
Formation energy (no corrections), eV per atom: 0.562

a b c (Å): 4.3930 4.3930 4.3930
angles (deg): 90.00 90.00 90.00
With the nearest neighbours (Å) after each atom.
Positions (direct):
O1 0.0000 0.0000 0.5000  2 Cs 2.20
O2 0.0000 0.5000 0.0000  2 Cs 2.20
O3 0.5000 0.0000 0.0000  2 Cs 2.20
Ga1 0.5000 0.5000 0.5000  12 O 3.11
Cs1 0.0000 0.0000 0.0000  6 O 2.20

***

5.
The following is a DFT calculation (PBE-GGA) of an optimized crystal structure of CsGaO2.

Calculated values
Total DFT energy (no corrections), eV per cell: -40.5
Formation energy (no corrections), eV per atom: -1.612

a b c (Å): 5.9391 3.3598 7.9574
angles (deg): 77.83 81.40 73.57
With the nearest neighbours (Å) after each atom.
Positions (direct):
Ga1 0.8119 0.0210 0.6971  2 O 1.79-1.86
Ga2 0.3439 0.6474 0.9127  4 O 1.83-1.94
Cs1 0.8193 0.7809 0.1674  3 O 2.87-3.07
Cs2 0.2860 0.4040 0.4586  5 O 2.96-3.16
O1 0.3278 0.0931 0.0374  2 Ga 1.94
O2 0.6595 0.5462 0.7992  3 Ga 1.93-2.02
O3 0.1182 0.8366 0.7599  2 Ga 1.83-1.86
O4 0.8165 0.1338 0.4665  1 Ga 1.79

***

6.
The following is a DFT calculation (PBE-GGA) of an optimized crystal structure of CsGaO2.

Calculated values
Total DFT energy (no corrections), eV per cell: -41.6
Formation energy (no corrections), eV per atom: -1.750

a b c (Å): 5.2661 6.5819 6.5833
angles (deg): 59.37 81.60 81.62
With the nearest neighbours (Å) after each atom.
Positions (direct):
O1 0.0529 0.1599 0.5642  2 Ga 1.89
O2 0.5497 0.8759 0.8606  2 Ga 1.89-1.90
O3 0.4822 0.3402 0.7403  2 Ga 1.89
O4 0.9844 0.0459 0.0267  2 Ga 1.89-1.90
Ga1 0.2673 0.1083 0.7952  4 O 1.89
Ga2 0.7673 0.1151 0.7884  4 O 1.89-1.90
Cs1 0.5031 0.8470 0.4070  3 O 2.92-3.19
Cs2 0.0345 0.4972 0.0573  3 O 2.93-3.20

***

7.
The following is a DFT calculation (PBE-GGA) of an optimized crystal structure of CsGaO2.

Calculated values
Total DFT energy (no corrections), eV per cell: -79.2
Formation energy (no corrections), eV per atom: -1.503

a b c (Å): 6.5893 3.1411 14.6782
angles (deg): 90.00 90.00 90.00
With the nearest neighbours (Å) after each atom.
Positions (direct):
Cs1 0.0694 0.2500 0.6437  3 O 2.90-3.01, 2 Cs 3.14
Cs2 0.4306 0.7500 0.1437  3 O 2.90-3.01, 2 Cs 3.14
Cs3 0.9306 0.7500 0.3563  3 O 2.90-3.01, 2 Cs 3.14
Cs4 0.5694 0.2500 0.8563  3 O 2.90-3.01, 2 Cs 3.14
O1 0.1829 0.2500 0.0090  1 Ga 1.93
O2 0.8171 0.7500 0.9910  1 Ga 1.93
O3 0.5631 0.2500 0.6591  2 Ga 1.96
O4 0.0631 0.2500 0.8409  2 Ga 1.96
O5 0.3171 0.7500 0.5090  1 Ga 1.93
O6 0.6829 0.2500 0.4910  1 Ga 1.93
O7 0.4369 0.7500 0.3409  2 Ga 1.96
O8 0.9369 0.7500 0.1591  2 Ga 1.96
Ga1 0.4359 0.2500 0.4209  3 O 1.93-1.96
Ga2 0.0641 0.7500 0.9209  3 O 1.93-1.96
Ga3 0.9359 0.2500 0.0791  3 O 1.93-1.96
Ga4 0.5641 0.7500 0.5791  3 O 1.93-1.96

***

8.
The following is a DFT calculation (PBE-GGA) of an optimized crystal structure of CsGaO2.

Calculated values
Total DFT energy (no corrections), eV per cell: -39.0
Formation energy (no corrections), eV per atom: -1.431

a b c (Å): 7.2627 7.2627 5.9286
angles (deg): 52.23 52.23 90.00
With the nearest neighbours (Å) after each atom.
Positions (direct):
Cs1 0.7500 0.7500 0.5000  2 Cs 2.96, 8 O 3.23
Cs2 0.2500 0.2500 0.5000  2 Cs 2.96, 8 O 3.23
O1 0.1258 0.6258 0.0000  2 Ga 1.97
O2 0.6258 0.8742 0.0000  2 Ga 1.97
O3 0.3742 0.1258 0.0000  2 Ga 1.97
O4 0.8742 0.3742 0.0000  2 Ga 1.97
Ga1 0.7500 0.2500 0.5000  4 O 1.97
Ga2 0.2500 0.7500 0.5000  4 O 1.97